No. 1
## ScP3Rh5 (PBE-GGA)

Data for a relaxed ScP3Rh5 crystal.

abc: 3.614 5.634 13.913
angles: 90.00 90.00 108.71
Atoms (fractional coordinates):
P: 0.049 0.098 0.750
P: 0.644 0.288 0.505
P: 0.951 0.902 0.250
P: 0.356 0.712 0.495
P: 0.644 0.288 0.995
P: 0.356 0.712 0.005
Rh: 0.202 0.404 0.612
Rh: 0.798 0.596 0.388
Rh: 0.472 0.943 0.651
Rh: 0.798 0.596 0.112
Rh: 0.000 0.000 0.500
Rh: 0.528 0.057 0.151
Rh: 0.528 0.057 0.349
Rh: 0.000 0.000 0.000
Rh: 0.202 0.404 0.888
Rh: 0.472 0.943 0.849
Sc: 0.203 0.407 0.250
Sc: 0.797 0.593 0.750

Output
The space group is Cmcm (63). For the density of states at the Fermi level, the calculation gives 8.52 states/eV/cell. The value obtained for the calculated formation energy is -0.649 eV per atom.

=====

No. 2
## ScPRh (PBE-GGA)

Data for a relaxed ScPRh crystal.

abc: 3.787 6.417 11.407
angles: 90.00 90.00 90.00
Atoms (fractional coordinates):
Sc: 0.000 0.754 0.041
Sc: 0.000 0.146 0.250
Sc: 0.000 0.854 0.750
Sc: 0.000 0.246 0.541
Sc: 0.000 0.246 0.959
Sc: 0.000 0.754 0.459
Rh: 0.500 0.577 0.874
Rh: 0.500 0.577 0.626
Rh: 0.500 0.802 0.250
Rh: 0.500 0.423 0.126
Rh: 0.500 0.198 0.750
Rh: 0.500 0.423 0.374
P: 0.500 0.056 0.097
P: 0.000 0.439 0.750
P: 0.500 0.944 0.903
P: 0.500 0.944 0.597
P: 0.000 0.561 0.250
P: 0.500 0.056 0.403

Output
The space group is Pmma (51). For the density of states at the Fermi level, the calculation gives 10.67 states/eV/cell. The value obtained for the calculated formation energy is -1.149 eV per atom.

=====

No. 3
## ScPRh2 (PBE-GGA)

Data for a relaxed ScPRh2 crystal.

abc: 2.942 2.942 6.922
angles: 90.00 90.00 90.00
Atoms (fractional coordinates):
Sc: 0.500 0.500 0.000
Rh: 0.000 0.000 0.707
Rh: 0.000 0.000 0.293
P: 0.500 0.500 0.500

Output
The space group is P4/mmm (123). For the density of states at the Fermi level, the calculation gives 1.76 states/eV/cell. The value obtained for the calculated formation energy is -0.653 eV per atom.

=====

No. 4
## Sc2PRh2 (PBE-GGA)

Data for a relaxed Sc2PRh2 crystal.

abc: 6.442 6.442 4.070
angles: 90.00 90.00 90.00
Atoms (fractional coordinates):
Rh: 0.350 0.850 0.000
Rh: 0.850 0.650 0.000
Rh: 0.150 0.350 0.000
Rh: 0.650 0.150 0.000
P: 0.000 0.000 0.000
P: 0.500 0.500 0.000
Sc: 0.832 0.332 0.500
Sc: 0.332 0.168 0.500
Sc: 0.168 0.668 0.500
Sc: 0.668 0.832 0.500

Output
The space group is P4/mbm (127). For the density of states at the Fermi level, the calculation gives 8.38 states/eV/cell. The value obtained for the calculated formation energy is -0.790 eV per atom.

=====

No. 5
## ScPRh2 (PBE-GGA)

Data for a relaxed ScPRh2 crystal.

abc: 3.417 3.417 5.231
angles: 90.00 90.00 90.00
Atoms (fractional coordinates):
Sc: 0.000 0.000 0.479
Rh: 0.000 0.000 0.951
Rh: 0.500 0.500 0.267
P: 0.500 0.500 0.802

Output
The space group is P4mm (99). For the density of states at the Fermi level, the calculation gives 0.92 states/eV/cell. The value obtained for the calculated formation energy is -0.711 eV per atom.

=====

No. 6
## ScPRh2 (PBE-GGA)

Data for a relaxed ScPRh2 crystal.

abc: 5.115 5.115 2.953
angles: 73.73 73.73 113.95
Atoms (fractional coordinates):
Rh: 0.500 0.000 0.000
Rh: 0.000 0.500 0.000
Sc: 0.000 0.000 0.500
P: 0.500 0.500 0.500

Output
The space group is C2/m (12). For the density of states at the Fermi level, the calculation gives 3.04 states/eV/cell. The value obtained for the calculated formation energy is -0.544 eV per atom.

=====

No. 7
## Sc3P2Rh7 (PBE-GGA)

Data for a relaxed Sc3P2Rh7 crystal.

abc: 3.981 3.894 12.523
angles: 90.00 98.92 90.00
Atoms (fractional coordinates):
Rh: 0.780 0.000 0.561
Rh: 0.582 0.000 0.167
Rh: 0.000 0.000 0.000
Rh: 0.919 0.500 0.835
Rh: 0.081 0.500 0.165
Rh: 0.220 0.000 0.439
Rh: 0.418 0.000 0.833
Sc: 0.325 0.500 0.645
Sc: 0.675 0.500 0.355
Sc: 0.500 0.500 0.000
P: 0.128 0.000 0.261
P: 0.872 0.000 0.739

Output
The space group is P2/m (10). For the density of states at the Fermi level, the calculation gives 8.07 states/eV/cell. The value obtained for the calculated formation energy is -0.891 eV per atom.

=====

No. 8
## ScPRh2 (PBE-GGA)

Data for a relaxed ScPRh2 crystal.

abc: 4.982 4.982 4.982
angles: 136.00 136.00 63.98
Atoms (fractional coordinates):
Rh: 0.250 0.750 0.500
Rh: 0.000 0.000 0.000
P: 0.750 0.250 0.500
Sc: 0.500 0.500 0.000

Output
The space group is I-4m2 (119). For the density of states at the Fermi level, the calculation gives 3.12 states/eV/cell. The value obtained for the calculated formation energy is -0.729 eV per atom.

=====

No. 9
## ScPRh (PBE-GGA)

Data for a relaxed ScPRh crystal.

abc: 4.647 4.647 4.647
angles: 139.65 130.97 65.31
Atoms (fractional coordinates):
P: 0.007 0.007 0.000
Rh: 0.321 0.321 0.000
Sc: 0.672 0.672 0.000

Output
The space group is Imm2 (44). For the density of states at the Fermi level, the calculation gives 2.05 states/eV/cell. The value obtained for the calculated formation energy is -0.715 eV per atom.

=====

No. 10
## ScPRh4 (PBE-GGA)

Data for a relaxed ScPRh4 crystal.

abc: 5.145 5.145 5.145
angles: 60.00 60.00 60.00
Atoms (fractional coordinates):
Rh: 0.374 0.374 0.374
Rh: 0.877 0.374 0.374
Rh: 0.374 0.877 0.374
Rh: 0.374 0.374 0.877
P: 0.000 0.000 0.000
Sc: 0.750 0.750 0.750

Output
The space group is F-43m (216). For the density of states at the Fermi level, the calculation gives 3.44 states/eV/cell. The value obtained for the calculated formation energy is -0.117 eV per atom.

=====

No. 11
## ScPRh2 (PBE-GGA)

Data for a relaxed ScPRh2 crystal.

abc: 3.656 3.271 5.583
angles: 89.76 90.00 90.00
Atoms (fractional coordinates):
Rh: 0.000 0.999 0.254
Rh: 0.000 0.001 0.746
Sc: 0.500 0.500 0.000
P: 0.500 0.000 0.500

Output
The space group is P2/m (10). For the density of states at the Fermi level, the calculation gives 1.79 states/eV/cell. The value obtained for the calculated formation energy is -0.704 eV per atom.

=====

No. 12
## ScPRh (PBE-GGA)

Data for a relaxed ScPRh crystal.

abc: 5.505 5.505 5.505
angles: 148.00 148.00 45.89
Atoms (fractional coordinates):
Sc: 0.341 0.341 0.000
P: 0.019 0.019 0.000
Rh: 0.640 0.640 0.000

Output
The space group is I4mm (107). For the density of states at the Fermi level, the calculation gives 2.57 states/eV/cell. The value obtained for the calculated formation energy is -0.729 eV per atom.

=====

> Among the records above, which one has the lowest calculated formation energy?

number 2